[1]
Here is a crystal of Zr2ZnO2 relaxed with PBEsol from the Alexandria database. Energies are from SCAN.

It has space group I4/mmm (No. 139), with a = 3.4843 Å, b = 3.4843 Å, c = 12.0956 Å, α = 90.00°, β = 90.00° and γ = 90.00°. The distinct sites, in fractional coordinates, are Zr at (0.0000, 0.0000, 0.1497), Zn at (0.0000, 0.0000, 0.5000) and O at (0.0000, 0.5000, 0.2500).

***

[2]
Here is a crystal of CaCr2Cl relaxed with PBEsol from the Alexandria database. Energies are from SCAN.

For the excess energy over the best structure of this formula in the dataset, the calculation gives 0 meV/atom.

It has space group P4mm (No. 99), with a = 3.3614 Å, b = 3.3614 Å, c = 6.7675 Å, α = 90.00°, β = 90.00° and γ = 90.00°. The distinct sites, in fractional coordinates, are Ca at (0.0000, 0.0000, 0.0000), Cr at (0.0000, 0.0000, 0.5955), Cr at (0.5000, 0.5000, 0.5465) and Cl at (0.5000, 0.5000, 0.1923).

***

[3]
Here is a crystal of Li2ZnMo relaxed with PBEsol from the Alexandria database. Energies are from SCAN.

The value obtained for the formation energy is 0.377 eV/atom.

It has space group P4/mmm (No. 123), with a = 3.6734 Å, b = 3.6734 Å, c = 4.2231 Å, α = 90.00°, β = 90.00° and γ = 90.00°. The distinct sites, in fractional coordinates, are Li at (0.0000, 0.5000, 0.0000), Zn at (0.0000, 0.0000, 0.5000) and Mo at (0.5000, 0.5000, 0.5000).

***

[4]
Here is a crystal of MgZnCd2 relaxed with PBEsol from the Alexandria database. Energies are from SCAN.

For the excess energy over the best structure of this formula in the dataset, the calculation gives 49 meV/atom. The value obtained for the formation energy is 0.007 eV/atom.

It has space group F-43m (No. 216), with a = 6.7555 Å, b = 6.7555 Å, c = 6.7555 Å, α = 90.00°, β = 90.00° and γ = 90.00°. The distinct sites, in fractional coordinates, are Mg at (0.0000, 0.0000, 0.0000), Zn at (0.2500, 0.2500, 0.2500), Cd at (0.0000, 0.0000, 0.5000) and Cd at (0.2500, 0.2500, 0.7500).

***

| no. | calculated total energy (eV per atom) | DOS(E_F) (states/eV/cell) |
| --- | --- | --- |
| 1 | -19.689 | 4.3 |
| 2 | -13.879 | 2.1 |
| 3 | -12.918 | 2.7 |
| 4 | -19.823 | 4.8 |